# Mn2RhF PBE with a Hubbard U optimized geometry
# Theoretical density: 5.98 g/cm3
# E_tot: -0.239 hartree per atom
# Energy relative to the lowest polymorph listed for this composition: 0 meV per atom
# Volume: 258 Å³/cell
data_Mn2RhF
_chemical_formula_sum 'Mn8 Rh4 F4'
_cell_length_a 6.378
_cell_length_b 6.378
_cell_length_c 6.333
_cell_angle_alpha 90.00
_cell_angle_beta 90.00
_cell_angle_gamma 90.00
_symmetry_space_group_name_H-M 'I -4 2 d'
_symmetry_Int_Tables_number 122
_symmetry_space_group_name_Hall 'I -4 2bw'
loop_
_atom_site_label
_atom_site_fract_x
_atom_site_fract_y
_atom_site_fract_z
_atom_site_occupancy
Mn1 0.195 0.250 0.125 1
Rh1 0.000 0.000 0.500 1
F1 0.000 0.000 0.000 1